w:
## TbPmY (PBE-GGA)

Data for a geometry-optimized TbPmY structure.

a b c (Å): 3.5740 8.8553 6.3838
angles (deg): 90.00 90.00 90.00
Closest atoms and distances in Å follow each position.
Sites, in units of the cell vectors:
Y1 0.5000 0.8012 0.7500  6 Pm 3.51-3.69, 2 Y 3.57, 4 Tb 3.59
Y2 0.5000 0.1988 0.2500  6 Pm 3.51-3.69, 2 Y 3.57, 4 Tb 3.59
Tb1 0.0000 0.5000 0.0000  4 Tb 3.19-3.57, 2 Pm 3.54
Tb2 0.0000 0.5000 0.5000  4 Tb 3.19-3.57, 2 Pm 3.54
Pm1 0.0000 0.8573 0.2500  6 Y 3.51-3.69, 2 Tb 3.54, 2 Pm 3.57
Pm2 0.0000 0.1427 0.7500  6 Y 3.51-3.69, 2 Tb 3.54, 2 Pm 3.57



x:
## TbPmY (PBE-GGA)

Data for a geometry-optimized TbPmY structure.

a b c (Å): 3.6285 3.6254 8.9496
angles (deg): 78.18 89.97 59.95
Closest atoms and distances in Å follow each position.
Sites, in units of the cell vectors:
Tb1 0.8724 0.6786 0.9498  3 Y 3.53, 3 Pm 3.60, 6 Tb 3.62-3.63
Pm1 0.0916 0.2386 0.6127  3 Y 3.58-3.60, 3 Tb 3.60, 6 Pm 3.62-3.63
Y1 0.6482 0.1252 0.2771  3 Tb 3.53, 3 Pm 3.58-3.60, 6 Y 3.62-3.63



Going by the energies, x is most stable and the next is 16.2 kJ/mol of atoms up.



w:
## Tb2Pm8Y (PBE-GGA)

Data for a geometry-optimized Tb2Pm8Y structure.

a b c (Å): 9.3416 10.1595 10.1595
angles (deg): 43.08 40.23 40.23
Closest atoms and distances in Å follow each position.
Sites, in units of the cell vectors:
Y1 0.0000 0.0000 0.0000  6 Pm 3.26-3.51
Pm1 0.8600 0.6489 0.2144  5 Pm 3.24-3.63, 1 Y 3.26, 2 Tb 3.47-3.52
Pm2 0.3776 0.3118 0.3118  5 Pm 3.45-3.66, 1 Tb 3.47, 1 Y 3.51
Pm3 0.2710 0.6777 0.6777  7 Pm 3.45-3.54, 3 Tb 3.53-3.75
Pm4 0.6224 0.6882 0.6882  5 Pm 3.45-3.66, 1 Tb 3.47, 1 Y 3.51
Pm5 0.1400 0.3511 0.7856  5 Pm 3.24-3.63, 1 Y 3.26, 2 Tb 3.47-3.52
Pm6 0.8600 0.2144 0.6489  5 Pm 3.24-3.63, 1 Y 3.26, 2 Tb 3.47-3.52
Pm7 0.1400 0.7856 0.3511  5 Pm 3.24-3.63, 1 Y 3.26, 2 Tb 3.47-3.52
Pm8 0.7290 0.3223 0.3223  7 Pm 3.45-3.54, 3 Tb 3.53-3.75
Tb1 0.6566 0.8578 0.8578  1 Tb 3.41, 10 Pm 3.47-3.79
Tb2 0.3434 0.1422 0.1422  1 Tb 3.41, 10 Pm 3.47-3.79



x:
## Tb2Pm8Y (PBE-GGA)

Data for a geometry-optimized Tb2Pm8Y structure.

a b c (Å): 6.7238 10.3682 10.3682
angles (deg): 38.27 59.62 59.62
Closest atoms and distances in Å follow each position.
Sites, in units of the cell vectors:
Tb1 0.5922 0.8011 0.8011  7 Pm 3.38-3.69
Tb2 0.4078 0.1989 0.1989  7 Pm 3.38-3.69
Pm1 0.2306 0.3504 0.8257  5 Pm 3.23-3.57, 1 Y 3.38, 1 Tb 3.48
Pm2 0.7694 0.1743 0.6496  5 Pm 3.23-3.57, 1 Y 3.38, 1 Tb 3.48
Pm3 0.7694 0.6496 0.1743  5 Pm 3.23-3.57, 1 Y 3.38, 1 Tb 3.48
Pm4 0.8278 0.2441 0.2441  5 Pm 3.32-3.49, 4 Tb 3.38-3.66
Pm5 0.2306 0.8257 0.3504  5 Pm 3.23-3.57, 1 Y 3.38, 1 Tb 3.48
Pm6 0.7278 0.5920 0.5920  8 Pm 3.38-3.75, 1 Tb 3.69
Pm7 0.1722 0.7559 0.7559  5 Pm 3.32-3.49, 4 Tb 3.38-3.66
Pm8 0.2722 0.4080 0.4080  8 Pm 3.38-3.75, 1 Tb 3.69
Y1 0.0000 0.0000 0.0000  4 Pm 3.38



Going by the energies, w is most stable and the next is 4.0 kJ/mol of atoms up.



w:
## Tb3Pm2Y3 (PBE-GGA)

Data for a geometry-optimized Tb3Pm2Y3 structure.

a b c (Å): 5.0804 5.0781 10.7430
angles (deg): 103.67 103.68 90.00
Closest atoms and distances in Å follow each position.
Sites, in units of the cell vectors:
Y1 0.6241 0.6241 0.2481  2 Y 3.57, 6 Tb 3.57-3.59, 4 Pm 3.60
Y2 0.3759 0.3759 0.7519  2 Y 3.57, 6 Tb 3.57-3.59, 4 Pm 3.60
Y3 0.5000 0.0000 0.0000  8 Tb 3.57-3.59, 4 Y 3.57
Tb1 0.8760 0.8760 0.7520  2 Tb 3.57, 6 Y 3.57-3.59, 4 Pm 3.60
Tb2 0.0000 0.5000 0.0000  4 Tb 3.57, 8 Y 3.57-3.59
Tb3 0.1240 0.1240 0.2480  2 Tb 3.57, 6 Y 3.57-3.59, 4 Pm 3.60
Pm1 0.2500 0.7500 0.5000  4 Pm 3.59, 4 Y 3.60, 4 Tb 3.60
Pm2 0.7500 0.2500 0.5000  4 Pm 3.59, 4 Y 3.60, 4 Tb 3.60



x:
## Tb3Pm2Y3 (PBE-GGA)

Data for a geometry-optimized Tb3Pm2Y3 structure.

a b c (Å): 12.1297 12.1297 6.2301
angles (deg): 75.12 75.12 17.11
Closest atoms and distances in Å follow each position.
Sites, in units of the cell vectors:
Tb1 0.6243 0.6243 0.0395  6 Y 3.55-3.61, 3 Tb 3.56-3.61, 3 Pm 3.56-3.59
Tb2 0.5000 0.5000 0.5000  8 Y 3.54-3.60, 4 Tb 3.56-3.61
Tb3 0.3757 0.3757 0.9605  6 Y 3.55-3.61, 3 Tb 3.56-3.61, 3 Pm 3.56-3.59
Y1 0.8758 0.8758 0.4615  6 Tb 3.54-3.61, 3 Y 3.56-3.61, 3 Pm 3.58-3.59
Y2 0.1242 0.1242 0.5385  6 Tb 3.54-3.61, 3 Y 3.56-3.61, 3 Pm 3.58-3.59
Y3 0.0000 0.0000 0.0000  8 Tb 3.55-3.60, 4 Y 3.56-3.61
Pm1 0.7504 0.7504 0.2484  3 Tb 3.56-3.59, 3 Y 3.58-3.59, 6 Pm 3.59-3.61
Pm2 0.2496 0.2496 0.7516  3 Tb 3.56-3.59, 3 Y 3.58-3.59, 6 Pm 3.59-3.61



Going by the energies, x is most stable and the next is 2.4 kJ/mol of atoms up.



w:
## Tb6Pm4Y (PBE-GGA)

Data for a geometry-optimized Tb6Pm4Y structure.

a b c (Å): 7.6817 7.6817 8.5427
angles (deg): 116.72 116.72 90.00
Closest atoms and distances in Å follow each position.
Sites, in units of the cell vectors:
Tb1 0.9264 0.4456 0.3720  2 Pm 3.22-3.59, 1 Y 3.58
Tb2 0.4456 0.9264 0.3720  2 Pm 3.22-3.59, 1 Y 3.58
Tb3 0.5544 0.5544 0.6280  2 Pm 3.22-3.59, 1 Y 3.58
Tb4 0.0000 0.5000 0.0000  4 Pm 3.01
Tb5 0.5000 0.0000 0.0000  4 Pm 3.01
Tb6 0.0736 0.0736 0.6280  2 Pm 3.22-3.59, 1 Y 3.58
Pm1 0.2494 0.2494 0.1527  3 Tb 3.01-3.22, 2 Pm 3.33
Pm2 0.7506 0.0967 0.8473  3 Tb 3.01-3.22, 2 Pm 3.33
Pm3 0.9033 0.9033 0.1527  3 Tb 3.01-3.22, 2 Pm 3.33
Pm4 0.0967 0.7506 0.8473  3 Tb 3.01-3.22, 2 Pm 3.33
Y1 0.5000 0.5000 0.0000  8 Tb 3.58-3.84, 4 Pm 3.69



x:
## Tb6Pm4Y (PBE-GGA)

Data for a geometry-optimized Tb6Pm4Y structure.

a b c (Å): 9.7747 9.7747 9.7747
angles (deg): 57.51 140.23 140.23
Closest atoms and distances in Å follow each position.
Sites, in units of the cell vectors:
Tb1 0.3554 0.5513 0.5513  3 Tb 3.27-3.34, 5 Pm 3.38-3.62
Tb2 0.5000 0.0000 0.5000  4 Tb 3.27, 2 Y 3.32
Tb3 0.0000 0.4487 0.8040  3 Tb 3.27-3.34, 5 Pm 3.38-3.62
Tb4 0.5000 0.5000 0.0000  4 Tb 3.27, 2 Y 3.32
Tb5 0.0000 0.8040 0.4487  3 Tb 3.27-3.34, 5 Pm 3.38-3.62
Tb6 0.6446 0.1960 0.1960  3 Tb 3.27-3.34, 5 Pm 3.38-3.62
Pm1 0.6218 0.9872 0.9872  5 Tb 3.38-3.62, 1 Y 3.51, 1 Pm 3.56
Pm2 0.0000 0.6347 0.0128  5 Tb 3.38-3.62, 1 Y 3.51, 1 Pm 3.56
Pm3 0.3782 0.3654 0.3654  5 Tb 3.38-3.62, 1 Y 3.51, 1 Pm 3.56
Pm4 0.0000 0.0128 0.6347  5 Tb 3.38-3.62, 1 Y 3.51, 1 Pm 3.56
Y1 0.0000 0.0000 0.0000  4 Tb 3.32, 4 Pm 3.51



Going by the energies, x is most stable and the next is 12.0 kJ/mol of atoms up.



w:
## Tb6Pm2Y3 (PBE-GGA)

Data for a geometry-optimized Tb6Pm2Y3 structure.

a b c (Å): 4.7634 4.7634 16.9518
angles (deg): 98.08 98.08 90.00
Closest atoms and distances in Å follow each position.
Sites, in units of the cell vectors:
Tb1 0.3062 0.3062 0.6124  5 Y 3.38-3.45, 4 Tb 3.40
Tb2 0.1208 0.6208 0.2416  6 Tb 3.37-3.40, 2 Pm 3.44, 2 Y 3.61
Tb3 0.6208 0.1208 0.2416  6 Tb 3.37-3.40, 2 Pm 3.44, 2 Y 3.61
Tb4 0.8792 0.3792 0.7584  6 Tb 3.37-3.40, 2 Pm 3.44, 2 Y 3.61
Tb5 0.3792 0.8792 0.7584  6 Tb 3.37-3.40, 2 Pm 3.44, 2 Y 3.61
Tb6 0.6938 0.6938 0.3876  5 Y 3.38-3.45, 4 Tb 3.40
Y1 0.0000 0.0000 0.0000  8 Pm 3.70
Y2 0.2023 0.2023 0.4046  9 Tb 3.38-3.61
Y3 0.7977 0.7977 0.5954  9 Tb 3.38-3.61
Pm1 0.4541 0.4541 0.9082  1 Pm 3.05
Pm2 0.5459 0.5459 0.0918  1 Pm 3.05



x:
## Tb6Pm2Y3 (PBE-GGA)

Data for a geometry-optimized Tb6Pm2Y3 structure.

a b c (Å): 6.1514 6.1591 11.7230
angles (deg): 84.92 79.79 60.04
Closest atoms and distances in Å follow each position.
Sites, in units of the cell vectors:
Y1 0.6653 0.6695 0.0000  6 Tb 3.52-3.53, 6 Y 3.53-3.57
Y2 0.3347 0.3305 0.0000  6 Tb 3.52-3.53, 6 Y 3.53-3.57
Y3 0.0000 0.0000 0.0000  6 Tb 3.53, 6 Y 3.55-3.57
Pm1 0.8335 0.3330 0.5000  6 Tb 3.55, 3 Pm 3.55
Pm2 0.1665 0.6670 0.5000  6 Tb 3.55, 3 Pm 3.55
Tb1 0.7504 0.0000 0.7510  3 Y 3.52-3.53, 2 Pm 3.55, 6 Tb 3.55-3.56
Tb2 0.2496 0.0000 0.2490  3 Y 3.52-3.53, 2 Pm 3.55, 6 Tb 3.55-3.56
Tb3 0.0829 0.3337 0.7512  3 Y 3.53, 2 Pm 3.55, 6 Tb 3.55-3.56
Tb4 0.9171 0.6663 0.2488  3 Y 3.53, 2 Pm 3.55, 6 Tb 3.55-3.56
Tb5 0.5835 0.3337 0.2488  3 Y 3.53, 2 Pm 3.55, 6 Tb 3.55-3.56
Tb6 0.4165 0.6663 0.7512  3 Y 3.53, 2 Pm 3.55, 6 Tb 3.55-3.56



Going by the energies, x is most stable and the next is 7.9 kJ/mol of atoms up.